The following is a DFT calculation (PBE) of a relaxed structure of GaSn2P2.

abc: 7.575 7.575 3.724
angles: 90.00 90.00 90.00
Fractional positions:
Ga  0.000  0.000  0.000
Ga  0.500  0.500  0.000
Sn  0.153  0.347  0.500
Sn  0.347  0.847  0.500
Sn  0.653  0.153  0.500
Sn  0.847  0.653  0.500
P  0.159  0.659  0.000
P  0.341  0.159  0.000
P  0.659  0.841  0.000
P  0.841  0.341  0.000

Calculated values
spin magnetization = 0.00 μB per cell
crystal system = tetragonal
calculated volume = 21.37 A^3/atom
space-group type = P4/mbm, No. 127
offset from the most stable computed form = 0.000 eV per atom
ΔE_f = 177 meV per atom

The following is a DFT calculation (PBE) of a relaxed structure of Pm2SiO.

abc: 7.597 7.597 7.597
angles: 27.50 27.50 27.50
Fractional positions:
Pm  0.000  0.000  0.000
Pm  0.148  0.148  0.148
Si  0.573  0.573  0.573
O  0.744  0.744  0.744

Calculated values
spin magnetization = 0.00 μB per cell
crystal system = trigonal
calculated volume = 20.63 A^3/atom
energy relative to the elements, uncorrected = -1.384 eV/atom
space-group type = R3m, No. 160
offset from the most stable computed form = 0.194 eV per atom

The following is a DFT calculation (PBE) of a relaxed structure of SbPb2Se.

abc: 6.384 6.384 6.384
angles: 145.77 128.62 63.20
Fractional positions:
Sb  0.000  0.000  0.000
Pb  0.456  0.456  0.000
Pb  0.744  0.244  0.500
Se  0.231  0.731  0.500

Calculated values
spin magnetization = 0.00 μB per cell
crystal system = orthorhombic
calculated volume = 28.28 A^3/atom
energy relative to the elements, uncorrected = -0.048 eV/atom
space-group type = Imm2, No. 44
offset from the most stable computed form = 0.161 eV per atom

Please write out number 2 again, unchanged.
The following is a DFT calculation (PBE) of a relaxed structure of Pm2SiO.

abc: 7.597 7.597 7.597
angles: 27.50 27.50 27.50
Fractional positions:
Pm  0.000  0.000  0.000
Pm  0.148  0.148  0.148
Si  0.573  0.573  0.573
O  0.744  0.744  0.744

Calculated values
spin magnetization = 0.00 μB per cell
crystal system = trigonal
calculated volume = 20.63 A^3/atom
energy relative to the elements, uncorrected = -1.384 eV/atom
space-group type = R3m, No. 160
offset from the most stable computed form = 0.194 eV per atom

What is the offset from the most stable computed form in the first record?
0.000 eV per atom

Number 2 is which compound?
Pm2SiO

Number 1 is which compound?
GaSn2P2